Record 1
# Ce2Mn22C3 | Alexandria | GGA-PBE | relaxed
# Total moment (μB/atom): 0.03
# Density (g/cm³): 7.80
# Formation enthalpy at 0 K (kJ per mole of atoms): -4.7
data_Ce2Mn22C3
_cell_length_a 11.9704
_cell_length_b 9.9085
_cell_length_c 6.4971
_cell_angle_alpha 90.00
_cell_angle_beta 122.58
_cell_angle_gamma 90.00
_space_group_name_H-M_alt 'C 1 2/m 1'
_space_group_IT_number 12
loop_
_space_group_symop_operation_xyz
'x,y,z'
'-x,-y,-z'
'-x,y,-z'
'x,-y,z'
'x+1/2,y+1/2,z'
'-x+1/2,-y+1/2,-z'
'-x+1/2,y+1/2,-z'
'x+1/2,-y+1/2,z'
loop_
_atom_site_label
_atom_site_type_symbol
_atom_site_fract_x
_atom_site_fract_y
_atom_site_fract_z
Ce1 Ce 0.2494 0.0000 0.1217
Mn1 Mn 0.0000 0.0000 0.5000
Mn2 Mn 0.0000 0.5000 0.0000
Mn3 Mn 0.0472 0.1310 0.2405
Mn4 Mn 0.0483 0.3772 0.3598
Mn5 Mn 0.1202 0.2088 0.6763
Mn6 Mn 0.1223 0.2987 0.0681
Mn7 Mn 0.2480 0.0000 0.6180
Mn8 Mn 0.2500 0.2500 0.5000
C1 C 0.0000 0.0000 0.0000
C2 C 0.2500 0.2500 0.0000


Record 2
# VRu2W2 | Alexandria | GGA-PBE | relaxed
# Total moment (μB/atom): 0.00
# Density (g/cm³): 13.13
# Formation enthalpy at 0 K (kJ per mole of atoms): 25.8
# Energy relative to the lowest polymorph listed for this composition (eV/f.u.): 0.00
data_VRu2W2
_cell_length_a 7.3866
_cell_length_b 7.3866
_cell_length_c 2.8768
_cell_angle_alpha 90.00
_cell_angle_beta 90.00
_cell_angle_gamma 90.00
_space_group_name_H-M_alt 'P 4/m b m'
_space_group_IT_number 127
_space_group_name_Hall '-P 4 2ab'
loop_
_atom_site_label
_atom_site_type_symbol
_atom_site_fract_x
_atom_site_fract_y
_atom_site_fract_z
V1 V 0.0000 0.0000 0.0000
Ru1 Ru 0.1332 0.3668 0.0000
W1 W 0.1662 0.6662 0.5000


Record 3
# VOsRh | Alexandria | GGA-PBE | relaxed
# Total moment (μB/atom): 0.00
# Density (g/cm³): 13.61
# Formation enthalpy at 0 K (kJ per mole of atoms): -11.5
# Energy relative to the lowest polymorph listed for this composition (eV/f.u.): 0.00
data_VOsRh
_cell_length_a 2.6979
_cell_length_b 2.6979
_cell_length_c 11.5392
_cell_angle_alpha 90.00
_cell_angle_beta 90.00
_cell_angle_gamma 90.00
_space_group_name_H-M_alt 'I 4 m m'
_space_group_IT_number 107
_space_group_name_Hall 'I 4 -2'
loop_
_atom_site_label
_atom_site_type_symbol
_atom_site_fract_x
_atom_site_fract_y
_atom_site_fract_z
V1 V 0.0000 0.0000 0.0000
Os1 Os 0.0000 0.0000 0.6641
Rh1 Rh 0.0000 0.0000 0.3343


Record 4
# BaTi2V | Alexandria | GGA-PBE | relaxed
# Total moment (μB/atom): 0.00
# Density (g/cm³): 4.95
# Formation enthalpy at 0 K (kJ per mole of atoms): 35.3
# Energy relative to the lowest polymorph listed for this composition (eV/f.u.): 0.37
data_BaTi2V
_cell_length_a 3.1344
_cell_length_b 4.1151
_cell_length_c 14.7677
_cell_angle_alpha 90.00
_cell_angle_beta 92.03
_cell_angle_gamma 90.00
_space_group_name_H-M_alt 'P 1 21/m 1'
_space_group_IT_number 11
loop_
_space_group_symop_operation_xyz
'x,y,z'
'-x,-y,-z'
'-x,y+1/2,-z'
'x,-y+1/2,z'
loop_
_atom_site_label
_atom_site_type_symbol
_atom_site_fract_x
_atom_site_fract_y
_atom_site_fract_z
Ba1 Ba 0.0038 0.2500 0.1271
Ti1 Ti 0.0327 0.7500 0.3001
Ti2 Ti 0.4751 0.7500 0.6248
V1 V 0.1532 0.2500 0.5352


Record 5
# RbRe2Br | Alexandria | GGA-PBE | relaxed
# Total moment (μB/atom): 0.00
# ΔE_f (raw) (eV/atom): 1.53
# Density (g/cm³): 8.22
# Energy relative to the lowest polymorph listed for this composition (eV/f.u.): 0.00
data_RbRe2Br
_cell_length_a 4.5197
_cell_length_b 4.5197
_cell_length_c 21.2693
_cell_angle_alpha 90.00
_cell_angle_beta 90.00
_cell_angle_gamma 90.00
_space_group_name_H-M_alt 'I -4 2 d'
_space_group_IT_number 122
_space_group_name_Hall 'I -4 2bw'
loop_
_atom_site_label
_atom_site_type_symbol
_atom_site_fract_x
_atom_site_fract_y
_atom_site_fract_z
Rb1 Rb 0.0000 0.0000 0.0000
Re1 Re 0.0798 0.7500 0.6250
Br1 Br 0.0000 0.0000 0.5000


Record 6
# Pm7SI12 | Alexandria | GGA-PBE | relaxed
# Total moment (μB/atom): 0.00
# ΔE_f (raw) (eV/atom): -1.41
# Density (g/cm³): 5.53
data_Pm7SI12
_cell_length_a 15.9154
_cell_length_b 15.9154
_cell_length_c 10.5468
_cell_angle_alpha 90.00
_cell_angle_beta 90.00
_cell_angle_gamma 120.00
_space_group_name_H-M_alt 'R -3'
_space_group_IT_number 148
_space_group_name_Hall '-R 3'
loop_
_atom_site_label
_atom_site_type_symbol
_atom_site_fract_x
_atom_site_fract_y
_atom_site_fract_z
Pm1 Pm 0.0000 0.0000 0.0000
Pm2 Pm 0.0434 0.8874 0.3519
S1 S 0.0000 0.0000 0.5000
I1 I 0.0232 0.4371 0.1641
I2 I 0.0519 0.8657 0.8376


Record 7
# Ba2LiIrBr | Alexandria | GGA-PBE | relaxed
# Total moment (μB/atom): 0.00
# ΔE_f (raw) (eV/atom): -0.55
# Density (g/cm³): 5.28
data_Ba2LiIrBr
_cell_length_a 6.0174
_cell_length_b 6.0174
_cell_length_c 4.8103
_cell_angle_alpha 90.00
_cell_angle_beta 90.00
_cell_angle_gamma 90.00
_space_group_name_H-M_alt 'P 4/m m m'
_space_group_IT_number 123
_space_group_name_Hall '-P 4 2'
loop_
_atom_site_label
_atom_site_type_symbol
_atom_site_fract_x
_atom_site_fract_y
_atom_site_fract_z
Ba1 Ba 0.0000 0.5000 0.0000
Li1 Li 0.0000 0.0000 0.5000
Ir1 Ir 0.0000 0.0000 0.0000
Br1 Br 0.5000 0.5000 0.5000


Record 8
# YWAu2 | Alexandria | GGA-PBE | relaxed
# Total moment (μB/atom): 0.00
# Density (g/cm³): 11.64
# Formation enthalpy at 0 K (kJ per mole of atoms): 51.5
# Energy relative to the lowest polymorph listed for this composition (eV/f.u.): 1.87
data_YWAu2
_cell_length_a 4.6173
_cell_length_b 4.6173
_cell_length_c 17.8491
_cell_angle_alpha 90.00
_cell_angle_beta 90.00
_cell_angle_gamma 90.00
_space_group_name_H-M_alt 'I -4 2 d'
_space_group_IT_number 122
_space_group_name_Hall 'I -4 2bw'
loop_
_atom_site_label
_atom_site_type_symbol
_atom_site_fract_x
_atom_site_fract_y
_atom_site_fract_z
Y1 Y 0.0000 0.0000 0.0000
W1 W 0.0000 0.0000 0.5000
Au1 Au 0.1868 0.2500 0.6250


Record 9
# SrMg2Si | Alexandria | GGA-PBE | relaxed
# Total moment (μB/atom): 0.00
# ΔE_f (raw) (eV/atom): -0.02
# Density (g/cm³): 2.74
data_SrMg2Si
_cell_length_a 4.5273
_cell_length_b 4.5273
_cell_length_c 4.8612
_cell_angle_alpha 90.00
_cell_angle_beta 90.00
_cell_angle_gamma 90.00
_space_group_name_H-M_alt 'P 4/m m m'
_space_group_IT_number 123
_space_group_name_Hall '-P 4 2'
loop_
_atom_site_label
_atom_site_type_symbol
_atom_site_fract_x
_atom_site_fract_y
_atom_site_fract_z
Sr1 Sr 0.0000 0.0000 0.0000
Mg1 Mg 0.0000 0.5000 0.5000
Si1 Si 0.5000 0.5000 0.0000


Record 10
# RbIn2GaPt | Alexandria | GGA-PBE | relaxed
# Total moment (μB/atom): 0.00
# Density (g/cm³): 5.55
# Formation enthalpy at 0 K (kJ per mole of atoms): 3.7
# Energy relative to the lowest polymorph listed for this composition (eV/f.u.): 1.07
data_RbIn2GaPt
_cell_length_a 5.2206
_cell_length_b 5.2206
_cell_length_c 6.3700
_cell_angle_alpha 90.00
_cell_angle_beta 90.00
_cell_angle_gamma 90.00
_space_group_name_H-M_alt 'P 4/m m m'
_space_group_IT_number 123
_space_group_name_Hall '-P 4 2'
loop_
_atom_site_label
_atom_site_type_symbol
_atom_site_fract_x
_atom_site_fract_y
_atom_site_fract_z
Rb1 Rb 0.0000 0.0000 0.0000
In1 In 0.0000 0.5000 0.5000
Ga1 Ga 0.5000 0.5000 0.0000
Pt1 Pt 0.0000 0.0000 0.5000


Record 11
# CaGa2Ag | Alexandria | GGA-PBE | relaxed
# Total moment (μB/atom): 0.00
# Density (g/cm³): 4.77
# Formation enthalpy at 0 K (kJ per mole of atoms): -13.8
data_CaGa2Ag
_cell_length_a 4.6618
_cell_length_b 4.6618
_cell_length_c 18.4286
_cell_angle_alpha 90.00
_cell_angle_beta 90.00
_cell_angle_gamma 90.00
_space_group_name_H-M_alt 'I -4 2 d'
_space_group_IT_number 122
_space_group_name_Hall 'I -4 2bw'
loop_
_atom_site_label
_atom_site_type_symbol
_atom_site_fract_x
_atom_site_fract_y
_atom_site_fract_z
Ca1 Ca 0.0000 0.0000 0.0000
Ga1 Ga 0.1047 0.2500 0.6250
Ag1 Ag 0.0000 0.0000 0.5000


Record 12
# VBiP2Cl | Alexandria | GGA-PBE | relaxed
# Total moment (μB/atom): 0.00
# ΔE_f (raw) (eV/atom): 0.11
# Density (g/cm³): 5.78
# Energy relative to the lowest polymorph listed for this composition (eV/f.u.): 0.00
data_VBiP2Cl
_cell_length_a 4.7680
_cell_length_b 4.7680
_cell_length_c 4.5152
_cell_angle_alpha 90.00
_cell_angle_beta 90.00
_cell_angle_gamma 90.00
_space_group_name_H-M_alt 'P 4/m m m'
_space_group_IT_number 123
_space_group_name_Hall '-P 4 2'
loop_
_atom_site_label
_atom_site_type_symbol
_atom_site_fract_x
_atom_site_fract_y
_atom_site_fract_z
V1 V 0.0000 0.0000 0.0000
Bi1 Bi 0.5000 0.5000 0.5000
P1 P 0.0000 0.5000 0.0000
Cl1 Cl 0.0000 0.0000 0.5000